<a>
VASP calculation (PBE) on ZrCSCl2 after structural relaxation.

Lattice parameters (Å, degrees): 5.060 5.060 4.953 90.00 90.00 90.00
Last column: magnetic moment on the atom in μB.
Sites, in units of the cell vectors:
S1 0.000 0.000 0.500  -0.05
C1 0.500 0.500 0.500  0.96
Zr1 0.000 0.000 0.000  0.04
Cl1 0.000 0.500 0.000  0.01
Cl2 0.500 0.000 0.000  0.01

Properties
- Magnetic moment: 1.94 μB/f.u.
- Calculated volume: 25.36 A^3/atom
- Space-group type: P4/mmm

***

<b>
VASP calculation (PBE) on ZrCSCl2 after structural relaxation.

Lattice parameters (Å, degrees): 4.224 4.224 4.426 90.00 90.00 90.00
Last column: magnetic moment on the atom in μB.
Sites, in units of the cell vectors:
S1 0.000 0.000 0.500  -0.04
C1 0.000 0.000 0.000  -0.05
Zr1 0.500 0.500 0.500  0.68
Cl1 0.000 0.500 0.000  -0.02
Cl2 0.500 0.000 0.000  -0.02

Properties
- Magnetic moment: 0.80 μB/f.u.
- Calculated volume: 15.80 A^3/atom
- Space-group type: P4/mmm

***

Decreasing stability: <a>, <b>

***

<a>
VASP calculation (PBE) on SbC2Cl after structural relaxation.

Lattice parameters (Å, degrees): 4.304 4.304 4.304 60.00 60.00 60.00
Sites, in units of the cell vectors:
Sb1 0.500 0.500 0.500
C1 0.250 0.250 0.250
C2 0.750 0.750 0.750
Cl1 0.000 0.000 0.000

Properties
- Magnetic moment: 0.00 μB/f.u.
- Calculated volume: 14.09 A^3/atom
- Space-group type: Fm-3m

***

<b>
VASP calculation (PBE) on SbC2Cl after structural relaxation.

Lattice parameters (Å, degrees): 5.762 5.762 5.939 60.98 60.98 90.00
Sites, in units of the cell vectors:
Sb1 0.000 0.000 0.000
Sb2 0.750 0.250 0.500
C1 0.664 0.125 0.250
C2 0.086 0.625 0.250
C3 0.375 0.336 0.750
C4 0.875 0.914 0.750
Cl1 0.500 0.500 0.000
Cl2 0.250 0.750 0.500

Properties
- Magnetic moment: 0.00 μB/f.u.
- Calculated volume: 17.93 A^3/atom
- Space-group type: I-42d

***

Decreasing stability: <b>, <a>

***

<a>
VASP calculation (PBE) on ScCCl2 after structural relaxation.

Lattice parameters (Å, degrees): 4.585 4.585 4.585 60.00 60.00 60.00
Last column: magnetic moment on the atom in μB.
Sites, in units of the cell vectors:
Sc1 0.500 0.500 0.500  0.52
C1 0.000 0.000 0.000  1.01
Cl1 0.250 0.250 0.250  0.07
Cl2 0.750 0.750 0.750  0.07

Properties
- Magnetic moment: 2.98 μB/f.u.
- Calculated volume: 17.04 A^3/atom
- Space-group type: Fm-3m

***

<b>
VASP calculation (PBE) on ScCCl2 after structural relaxation.

Lattice parameters (Å, degrees): 9.365 9.365 6.994 47.97 47.97 90.00
Last column: magnetic moment on the atom in μB.
Sites, in units of the cell vectors:
Sc1 0.000 0.000 0.000  0.14
Sc2 0.750 0.250 0.500  0.14
C1 0.500 0.500 0.000  0.72
C2 0.250 0.750 0.500  0.72
Cl1 0.792 0.125 0.250  0.02
Cl2 0.958 0.625 0.250  0.02
Cl3 0.375 0.208 0.750  0.04
Cl4 0.875 0.042 0.750  0.04

Properties
- Magnetic moment: 1.73 μB/f.u.
- Calculated volume: 24.67 A^3/atom
- Space-group type: I-42d

***

Decreasing stability: <b>, <a>

***

<a>
VASP calculation (PBE) on ScC3Cl after structural relaxation.

Lattice parameters (Å, degrees): 4.439 4.439 4.439 90.00 90.00 90.00
Sites, in units of the cell vectors:
Sc1 0.000 0.000 0.000
C1 0.000 0.500 0.000
C2 0.000 0.000 0.500
C3 0.500 0.000 0.000
Cl1 0.500 0.500 0.500

Properties
- Magnetic moment: 0.00 μB/f.u.
- Calculated volume: 17.49 A^3/atom
- Space-group type: Pm-3m

***

<b>
VASP calculation (PBE) on ScC3Cl after structural relaxation.

Lattice parameters (Å, degrees): 3.848 3.848 3.848 90.00 90.00 90.00
Sites, in units of the cell vectors:
Sc1 0.500 0.500 0.500
C1 0.000 0.500 0.000
C2 0.000 0.000 0.500
C3 0.500 0.000 0.000
Cl1 0.000 0.000 0.000

Properties
- Magnetic moment: 0.00 μB/f.u.
- Calculated volume: 11.40 A^3/atom
- Space-group type: Pm-3m

***

Decreasing stability: <b>, <a>

***

<a>
VASP calculation (PBE) on C3SeCl after structural relaxation.

Lattice parameters (Å, degrees): 4.026 4.026 4.026 90.00 90.00 90.00
Sites, in units of the cell vectors:
C1 0.000 0.500 0.000
C2 0.000 0.000 0.500
C3 0.500 0.000 0.000
Se1 0.000 0.000 0.000
Cl1 0.500 0.500 0.500

Properties
- Magnetic moment: 0.00 μB/f.u.
- Calculated volume: 13.05 A^3/atom
- Space-group type: Pm-3m

***

<b>
VASP calculation (PBE) on C3SeCl after structural relaxation.

Lattice parameters (Å, degrees): 3.918 3.918 3.918 90.00 90.00 90.00
Sites, in units of the cell vectors:
C1 0.000 0.500 0.000
C2 0.000 0.000 0.500
C3 0.500 0.000 0.000
Se1 0.500 0.500 0.500
Cl1 0.000 0.000 0.000

Properties
- Magnetic moment: 0.00 μB/f.u.
- Calculated volume: 12.02 A^3/atom
- Space-group type: Pm-3m

***

Decreasing stability: <a>, <b>

***

<a>
VASP calculation (PBE) on CSeCl3 after structural relaxation.

Lattice parameters (Å, degrees): 4.486 4.486 4.486 90.00 90.00 90.00
Last column: magnetic moment on the atom in μB.
Sites, in units of the cell vectors:
C1 0.000 0.000 0.000  0.02
Se1 0.500 0.500 0.500  0.54
Cl1 0.000 0.500 0.000  0.04
Cl2 0.000 0.000 0.500  0.06
Cl3 0.500 0.000 0.000  0.09

Properties
- Magnetic moment: 1.06 μB/f.u.
- Calculated volume: 18.05 A^3/atom
- Space-group type: Pm-3m

***

<b>
VASP calculation (PBE) on CSeCl3 after structural relaxation.

Lattice parameters (Å, degrees): 5.019 5.019 5.019 90.00 90.00 90.00
Last column: magnetic moment on the atom in μB.
Sites, in units of the cell vectors:
C1 0.500 0.500 0.500  0.90
Se1 0.000 0.000 0.000  0.00
Cl1 0.000 0.500 0.000  0.00
Cl2 0.000 0.000 0.500  -0.04
Cl3 0.500 0.000 0.000  -0.01

Properties
- Magnetic moment: 1.70 μB/f.u.
- Calculated volume: 25.29 A^3/atom
- Space-group type: Pm-3m

***

Decreasing stability: <a>, <b>

***

<a>
VASP calculation (PBE) on CSe3Cl after structural relaxation.

Lattice parameters (Å, degrees): 4.494 4.494 4.494 90.00 90.00 90.00
Sites, in units of the cell vectors:
C1 0.000 0.000 0.000
Se1 0.000 0.500 0.000
Se2 0.000 0.000 0.500
Se3 0.500 0.000 0.000
Cl1 0.500 0.500 0.500

Properties
- Magnetic moment: 0.00 μB/f.u.
- Calculated volume: 18.15 A^3/atom
- Space-group type: Pm-3m

***

<b>
VASP calculation (PBE) on CSe3Cl after structural relaxation.

Lattice parameters (Å, degrees): 4.966 4.966 4.966 90.00 90.00 90.00
Last column: magnetic moment on the atom in μB.
Sites, in units of the cell vectors:
C1 0.500 0.500 0.500  0.69
Se1 0.000 0.500 0.000  -0.12
Se2 0.000 0.000 0.500  -0.23
Se3 0.500 0.000 0.000  -0.16
Cl1 0.000 0.000 0.000  -0.01

Properties
- Magnetic moment: 0.55 μB/f.u.
- Calculated volume: 24.50 A^3/atom
- Space-group type: Pm-3m

***

Decreasing stability: <a>, <b>

***

<a>
VASP calculation (PBE) on SiCCl2 after structural relaxation.

Lattice parameters (Å, degrees): 8.331 8.331 8.331 22.27 22.27 22.27
Sites, in units of the cell vectors:
Si1 0.500 0.500 0.500
C1 0.000 0.000 0.000
Cl1 0.916 0.916 0.916
Cl2 0.084 0.084 0.084

Properties
- Magnetic moment: 0.00 μB/f.u.
- Calculated volume: 18.21 A^3/atom
- Space-group type: R-3m

***

<b>
VASP calculation (PBE) on SiCCl2 after structural relaxation.

Lattice parameters (Å, degrees): 4.604 4.604 4.604 60.00 60.00 60.00
Last column: magnetic moment on the atom in μB.
Sites, in units of the cell vectors:
Si1 0.500 0.500 0.500  0.05
C1 0.000 0.000 0.000  0.75
Cl1 0.250 0.250 0.250  0.03
Cl2 0.750 0.750 0.750  0.03

Properties
- Magnetic moment: 1.68 μB/f.u.
- Calculated volume: 17.25 A^3/atom
- Space-group type: Fm-3m

***

<c>
VASP calculation (PBE) on SiCCl2 after structural relaxation.

Lattice parameters (Å, degrees): 6.351 6.351 6.355 60.02 60.02 90.00
Sites, in units of the cell vectors:
Si1 0.000 0.000 0.000
Si2 0.750 0.250 0.500
C1 0.500 0.500 0.000
C2 0.250 0.750 0.500
Cl1 0.376 0.125 0.250
Cl2 0.374 0.625 0.250
Cl3 0.375 0.624 0.750
Cl4 0.875 0.626 0.750

Properties
- Magnetic moment: 0.00 μB/f.u.
- Calculated volume: 22.67 A^3/atom
- Space-group type: Fd-3m

***

Decreasing stability: <a>, <c>, <b>

***

<a>
VASP calculation (PBE) on SiCCl3 after structural relaxation.

Lattice parameters (Å, degrees): 4.455 4.455 4.455 90.00 90.00 90.00
Sites, in units of the cell vectors:
Si1 0.500 0.500 0.500
C1 0.000 0.000 0.000
Cl1 0.000 0.500 0.000
Cl2 0.000 0.000 0.500
Cl3 0.500 0.000 0.000

Properties
- Magnetic moment: 0.00 μB/f.u.
- Calculated volume: 17.68 A^3/atom
- Space-group type: Pm-3m

***

<b>
VASP calculation (PBE) on SiCCl3 after structural relaxation.

Lattice parameters (Å, degrees): 4.781 4.781 4.781 90.00 90.00 90.00
Last column: magnetic moment on the atom in μB.
Sites, in units of the cell vectors:
Si1 0.000 0.000 0.000  -0.01
C1 0.500 0.500 0.500  0.90
Cl1 0.000 0.500 0.000  -0.01
Cl2 0.000 0.000 0.500  -0.01
Cl3 0.500 0.000 0.000  -0.02

Properties
- Magnetic moment: 1.70 μB/f.u.
- Calculated volume: 21.86 A^3/atom
- Space-group type: Pm-3m

***

Decreasing stability: <b>, <a>

***

<a>
VASP calculation (PBE) on Si3CCl after structural relaxation.

Lattice parameters (Å, degrees): 4.273 4.273 4.273 90.00 90.00 90.00
Sites, in units of the cell vectors:
Si1 0.000 0.500 0.000
Si2 0.000 0.000 0.500
Si3 0.500 0.000 0.000
C1 0.000 0.000 0.000
Cl1 0.500 0.500 0.500

Properties
- Magnetic moment: 0.00 μB/f.u.
- Calculated volume: 15.60 A^3/atom
- Space-group type: Pm-3m

***

<b>
VASP calculation (PBE) on Si3CCl after structural relaxation.

Lattice parameters (Å, degrees): 4.709 4.709 4.709 90.00 90.00 90.00
Sites, in units of the cell vectors:
Si1 0.000 0.500 0.000
Si2 0.000 0.000 0.500
Si3 0.500 0.000 0.000
C1 0.500 0.500 0.500
Cl1 0.000 0.000 0.000

Properties
- Magnetic moment: 0.00 μB/f.u.
- Calculated volume: 20.88 A^3/atom
- Space-group type: Pm-3m

***

Decreasing stability: <a>, <b>

***

<a>
VASP calculation (PBE) on SnC3Cl after structural relaxation.

Lattice parameters (Å, degrees): 3.971 3.971 3.971 90.00 90.00 90.00
Sites, in units of the cell vectors:
C1 0.000 0.500 0.000
C2 0.000 0.000 0.500
C3 0.500 0.000 0.000
Sn1 0.500 0.500 0.500
Cl1 0.000 0.000 0.000

Properties
- Magnetic moment: 0.00 μB/f.u.
- Calculated volume: 12.52 A^3/atom
- Space-group type: Pm-3m

***

<b>
VASP calculation (PBE) on SnC3Cl after structural relaxation.

Lattice parameters (Å, degrees): 4.419 4.419 4.419 90.00 90.00 90.00
Last column: magnetic moment on the atom in μB.
Sites, in units of the cell vectors:
C1 0.000 0.500 0.000  0.49
C2 0.000 0.000 0.500  0.43
C3 0.500 0.000 0.000  0.43
Sn1 0.000 0.000 0.000  0.00
Cl1 0.500 0.500 0.500  0.15

Properties
- Magnetic moment: 2.80 μB/f.u.
- Calculated volume: 17.26 A^3/atom
- Space-group type: Pm-3m

***

Decreasing stability: <b>, <a>

***

<a>
VASP calculation (PBE) on SnC2Cl2 after structural relaxation.

Lattice parameters (Å, degrees): 8.417 8.417 8.417 138.75 115.28 79.70
Sites, in units of the cell vectors:
Sn1 0.250 0.748 0.498
Sn2 0.750 0.252 0.502
C1 0.443 0.555 0.498
C2 0.943 0.445 0.887
C3 0.557 0.445 0.502
C4 0.057 0.555 0.113
Cl1 0.394 0.128 0.735
Cl2 0.606 0.872 0.265
Cl3 0.894 0.159 0.265
Cl4 0.106 0.841 0.735

Properties
- Magnetic moment: 0.00 μB/f.u.
- Calculated volume: 34.53 A^3/atom
- Space-group type: Imma

***

<b>
VASP calculation (PBE) on SnC2Cl2 after structural relaxation.

Lattice parameters (Å, degrees): 8.098 8.098 8.098 142.99 100.12 91.48
Sites, in units of the cell vectors:
Sn1 0.888 0.250 0.638
Sn2 0.112 0.750 0.362
C1 0.500 0.873 0.873
C2 0.500 0.373 0.373
C3 0.500 0.127 0.127
C4 0.500 0.627 0.627
Cl1 0.240 0.392 0.848
Cl2 0.760 0.608 0.152
Cl3 0.044 0.892 0.152
Cl4 0.956 0.108 0.848

Properties
- Magnetic moment: 0.00 μB/f.u.
- Calculated volume: 30.21 A^3/atom
- Space-group type: Imma

***

Decreasing stability: <b>, <a>